The following is a DFT calculation (PBEsol) of crystalline CsEuS2 at its relaxed geometry. Values from VASP.

Quantum ESPRESSO input file:
```
&SYSTEM
  ibrav = 0, nat = 4, ntyp = 3
/
ATOMIC_SPECIES
S 32.06 S.upf
Cs 132.91 Cs.upf
Eu 151.96 Eu.upf
CELL_PARAMETERS angstrom
-3.623 -0.958 -1.814
-0.746 -3.909 -1.223
-4.566 -3.240 6.054
ATOMIC_POSITIONS crystal
S 0.772 0.772 0.685
S 0.228 0.228 0.315
Cs 0.000 0.000 0.000
Eu 0.500 0.500 0.500
```

The calculation puts the final energy at -6.657 eV/atom. Its magnetic moment is 6.00 μB per formula unit. Its crystal system is trigonal. As for the density of states at the Fermi level: 4.12 states/eV/f.u. The value obtained for the formation energy from raw total energies is -153.3 kJ/mol of atoms.